(1)
Crystalline ErBi2Pb at its relaxed geometry. Source: Alexandria via LeMat-Bulk, functional GGA-PBE.

Unit cell a=7.903 b=7.903 c=7.903 alpha=90.00 beta=90.00 gamma=90.00
Space group Fm-3m (No. 225)
Asymmetric unit:
Er: 0.000 0.000 0.000 x4
Bi: 0.250 0.250 0.250 x8
Pb: 0.000 0.000 0.500 x4

Summary:
**Energy relative to the lowest polymorph listed for this composition**: 110 meV per atom
**D(E_F)**: 7.0 states/eV/cell
**Formation energy**: -0.207 eV/atom

---

(2)
Crystalline Er3Ga8Rh4 at its relaxed geometry. Source: Alexandria via LeMat-Bulk, functional GGA-PBE.

Unit cell a=12.720 b=12.720 c=12.720 alpha=90.00 beta=90.00 gamma=90.00
Space group Fm-3m (No. 225)
Asymmetric unit:
Er: 0.000 0.000 0.216 x24
Ga: 0.124 0.124 0.376 x32
Ga: 0.163 0.163 0.163 x32
Rh: 0.000 0.000 0.000 x4
Rh: 0.000 0.000 0.500 x4
Rh: 0.000 0.250 0.250 x24

Summary:
**D(E_F)**: 63.0 states/eV/cell
**Formation energy**: -0.723 eV/atom